# PBE-GGA K2LiCu2Br7, relaxed
data_K2LiCu2Br7
_chemical_formula_sum 'K4 Li2 Cu4 Br14'
_symmetry_space_group_name_H-M 'C 1 2/m 1'
_symmetry_Int_Tables_number 12
_symmetry_space_group_name_Hall '-C 2y'
_cell_length_a 7.292
_cell_length_b 7.292
_cell_length_c 13.525
_cell_angle_alpha 90.00
_cell_angle_beta 105.62
_cell_angle_gamma 90.00
loop_
_atom_site_label
_atom_site_fract_x
_atom_site_fract_y
_atom_site_fract_z
K1 0.176 0.000 0.354
Li1 0.000 0.000 0.000
Cu1 0.097 0.500 0.195
Br1 0.000 0.500 0.000
Br2 0.163 0.250 0.824
Br3 0.193 0.500 0.388
# DOS at the Fermi energy: 0.272 states/eV per atom

# PBE-GGA K2LiCu2Br6, relaxed
data_K2LiCu2Br6
_chemical_formula_sum 'K4 Li2 Cu4 Br12'
_symmetry_space_group_name_H-M 'C 1 2/m 1'
_symmetry_Int_Tables_number 12
_symmetry_space_group_name_Hall '-C 2y'
_cell_length_a 13.464
_cell_length_b 7.315
_cell_length_c 8.058
_cell_angle_alpha 90.00
_cell_angle_beta 119.05
_cell_angle_gamma 90.00
loop_
_atom_site_label
_atom_site_fract_x
_atom_site_fract_y
_atom_site_fract_z
K1 0.217 0.000 0.196
Li1 0.000 0.000 0.500
Cu1 0.057 0.500 0.260
Br1 0.059 0.243 0.789
Br2 0.250 0.000 0.632
# DOS at the Fermi energy: 0.461 states/eV per atom

# PBE-GGA K3LiCu2Br6, relaxed
data_K3LiCu2Br6
_chemical_formula_sum 'K3 Li1 Cu2 Br6'
_symmetry_space_group_name_H-M 'P -3 m 1'
_symmetry_Int_Tables_number 164
_symmetry_space_group_name_Hall '-P 3 2"'
_cell_length_a 7.7897
_cell_length_b 7.7897
_cell_length_c 8.4575
_cell_angle_alpha 90.00
_cell_angle_beta 90.00
_cell_angle_gamma 120.00
loop_
_atom_site_label
_atom_site_fract_x
_atom_site_fract_y
_atom_site_fract_z
K1 0.0000 0.0000 0.0000
K2 0.3333 0.6667 0.6565
Li1 0.0000 0.0000 0.5000
Cu1 0.3333 0.6667 0.2735
Br1 0.1597 0.3195 0.2922
# DOS at the Fermi energy: 0.000 states/eV per atom

# PBE-GGA KLi3Cu4Br12, relaxed
data_KLi3Cu4Br12
_chemical_formula_sum 'K3 Li9 Cu12 Br36'
_symmetry_space_group_name_H-M 'R 3 2'
_symmetry_Int_Tables_number 155
_symmetry_space_group_name_Hall 'R 3 2"'
_cell_length_a 13.7465
_cell_length_b 13.7465
_cell_length_c 11.3701
_cell_angle_alpha 90.00
_cell_angle_beta 90.00
_cell_angle_gamma 120.00
loop_
_atom_site_label
_atom_site_fract_x
_atom_site_fract_y
_atom_site_fract_z
K1 0.0000 0.0000 0.0000
Li1 0.0000 0.5607 0.0000
Cu1 0.0000 0.0000 0.5000
Cu2 0.0000 0.4227 0.5000
Br1 0.0000 0.5943 0.5000
Br2 0.0000 0.8305 0.5000
Br3 0.0484 0.1999 0.1956
# DOS at the Fermi energy: 0.484 states/eV per atom

# PBE-GGA K3LiCu2Br9, relaxed
data_K3LiCu2Br9
_chemical_formula_sum 'K3 Li1 Cu2 Br9'
_symmetry_space_group_name_H-M 'P -3 m 1'
_symmetry_Int_Tables_number 164
_symmetry_space_group_name_Hall '-P 3 2"'
_cell_length_a 7.3499
_cell_length_b 7.3499
_cell_length_c 9.0678
_cell_angle_alpha 90.00
_cell_angle_beta 90.00
_cell_angle_gamma 120.00
loop_
_atom_site_label
_atom_site_fract_x
_atom_site_fract_y
_atom_site_fract_z
K1 0.0000 0.0000 0.0000
K2 0.3333 0.6667 0.6573
Li1 0.0000 0.0000 0.5000
Cu1 0.3333 0.6667 0.1669
Br1 0.0000 0.5000 0.0000
Br2 0.1693 0.3387 0.3217
# DOS at the Fermi energy: 0.785 states/eV per atom

# PBE-GGA KLiCuBr4, relaxed
data_KLiCuBr4
_chemical_formula_sum 'K2 Li2 Cu2 Br8'
_symmetry_space_group_name_H-M 'P 1 21/m 1'
_symmetry_Int_Tables_number 11
_symmetry_space_group_name_Hall '-P 2yb'
_cell_length_a 6.586
_cell_length_b 7.602
_cell_length_c 8.988
_cell_angle_alpha 90.00
_cell_angle_beta 104.17
_cell_angle_gamma 90.00
loop_
_atom_site_label
_atom_site_fract_x
_atom_site_fract_y
_atom_site_fract_z
K1 0.230 0.250 0.082
Li1 0.310 0.250 0.670
Cu1 0.193 0.750 0.322
Br1 0.058 0.015 0.733
Br2 0.367 0.750 0.102
Br3 0.487 0.750 0.536
# DOS at the Fermi energy: 0.761 states/eV per atom

# PBE-GGA K2MgCuBr5, relaxed
data_K2MgCuBr5
_chemical_formula_sum 'K8 Mg4 Cu4 Br20'
_symmetry_space_group_name_H-M 'C m c 21'
_symmetry_Int_Tables_number 36
_symmetry_space_group_name_Hall 'C 2c -2'
_cell_length_a 4.149
_cell_length_b 19.419
_cell_length_c 13.594
_cell_angle_alpha 90.00
_cell_angle_beta 90.00
_cell_angle_gamma 90.00
loop_
_atom_site_label
_atom_site_fract_x
_atom_site_fract_y
_atom_site_fract_z
K1 0.000 0.119 0.000
K2 0.000 0.125 0.626
Mg1 0.000 0.207 0.325
Cu1 0.000 0.441 0.737
Br1 0.000 0.068 0.333
Br2 0.000 0.292 0.959
Br3 0.000 0.301 0.687
Br4 0.000 0.342 0.315
Br5 0.000 0.498 0.582
# DOS at the Fermi energy: 0.000 states/eV per atom

First-principles (PBE-GGA) data for a relaxed structure of K2MgCu2Br6, as listed in Alexandria.

```
data_K2MgCu2Br6
_chemical_formula_sum 'K4 Mg2 Cu4 Br12'
_symmetry_space_group_name_H-M 'C 1 2/m 1'
_symmetry_Int_Tables_number 12
_symmetry_space_group_name_Hall '-C 2y'
_cell_length_a 13.238
_cell_length_b 7.588
_cell_length_c 7.719
_cell_angle_alpha 90.00
_cell_angle_beta 121.48
_cell_angle_gamma 90.00
loop_
_atom_site_label
_atom_site_fract_x
_atom_site_fract_y
_atom_site_fract_z
K1 0.234 0.000 0.207
Mg1 0.000 0.000 0.500
Cu1 0.053 0.500 0.210
Br1 0.052 0.241 0.793
Br2 0.237 0.000 0.635
```

no.,VASP energy (eV per atom)
1,-2.878
2,-3.046
3,-3.077
4,-2.884
5,-2.853
6,-2.977
7,-3.125
8,-3.092